# 1
Here is a relaxed Cd2InAgAu5 crystal from the Alexandria database. Energies are from PBE-GGA.

Its formation enthalpy at 0 K is 0.052 eV per atom.

Unit cell a=8.508 b=8.508 c=8.083 alpha=121.76 beta=121.76 gamma=90.00
Fractional coordinates of all 18 atoms:
Cd (0.612, 0.112, 0.000)
Cd (0.888, 0.612, 0.000)
Cd (0.112, 0.388, 0.000)
Cd (0.388, 0.888, 0.000)
Ag (0.750, 0.250, 0.500)
Ag (0.250, 0.750, 0.500)
Au (0.434, 0.334, 0.269)
Au (0.334, 0.834, 0.269)
Au (0.000, 0.000, 0.000)
Au (0.934, 0.434, 0.269)
Au (0.500, 0.500, 0.000)
Au (0.066, 0.566, 0.731)
Au (0.834, 0.934, 0.269)
Au (0.666, 0.166, 0.731)
Au (0.166, 0.066, 0.731)
Au (0.566, 0.666, 0.731)
In (0.750, 0.750, 0.500)
In (0.250, 0.250, 0.500)

# 2
Here is a relaxed UReO3 crystal from the Alexandria database. Energies are from PBE-GGA.

The calculation puts the uncorrected formation energy at -1.42 eV/atom.

Unit cell a=3.979 b=3.979 c=3.979 alpha=90.00 beta=90.00 gamma=90.00
Fractional coordinates of all 5 atoms:
O (0.000, 0.500, 0.500)
O (0.500, 0.000, 0.500)
O (0.500, 0.500, 0.000)
U (0.000, 0.000, 0.000)
Re (0.500, 0.500, 0.500)

# 3
Here is a relaxed Th6TcOs2 crystal from the Alexandria database. Energies are from PBE-GGA.

Its formation enthalpy at 0 K is -0.154 eV per atom.

Unit cell a=4.402 b=7.829 c=7.829 alpha=120.00 beta=90.00 gamma=90.00
Fractional coordinates of all 9 atoms:
Th (0.000, 0.000, 0.747)
Th (0.500, 0.579, 0.579)
Th (0.500, 0.000, 0.421)
Th (0.000, 0.747, 0.000)
Th (0.000, 0.253, 0.253)
Th (0.500, 0.421, 0.000)
Os (0.000, 0.667, 0.333)
Os (0.000, 0.333, 0.667)
Tc (0.500, 0.000, 0.000)

# 4
Here is a relaxed Ce2Tl3RhS6 crystal from the Alexandria database. Energies are from PBE-GGA.

The calculation puts the uncorrected formation energy at -1.00 eV/atom.

Unit cell a=6.779 b=6.779 c=7.994 alpha=98.40 beta=98.40 gamma=120.56
Fractional coordinates of all 12 atoms:
S (0.060, 0.363, 0.188)
S (0.637, 0.940, 0.812)
S (0.766, 0.766, 0.205)
S (0.363, 0.060, 0.188)
S (0.940, 0.637, 0.812)
S (0.234, 0.234, 0.795)
Tl (0.175, 0.825, 0.500)
Tl (0.825, 0.175, 0.500)
Tl (0.500, 0.500, 0.500)
Rh (0.000, 0.000, 0.000)
Ce (0.663, 0.337, 0.000)
Ce (0.337, 0.663, 0.000)

# 5
Here is a relaxed HfNbSe3 crystal from the Alexandria database. Energies are from PBE-GGA.

Its distance to the lowest polymorph of the same formula is 0.00 eV/f.u. The calculation puts the uncorrected formation energy at 0.05 eV/atom.

Unit cell a=5.106 b=5.106 c=5.106 alpha=90.00 beta=90.00 gamma=90.00
Fractional coordinates of all 5 atoms:
Se (0.500, 0.000, 0.000)
Se (0.000, 0.500, 0.000)
Se (0.000, 0.000, 0.500)
Hf (0.000, 0.000, 0.000)
Nb (0.500, 0.500, 0.500)

# 6
Here is a relaxed CoTcNi4 crystal from the Alexandria database. Energies are from PBE-GGA.

Its distance to the lowest polymorph of the same formula is 0.00 eV/f.u. Its formation enthalpy at 0 K is 0.064 eV per atom.

Unit cell a=2.495 b=6.921 c=8.001 alpha=90.00 beta=90.00 gamma=90.00
Fractional coordinates of all 12 atoms:
Ni (0.500, 0.675, 0.987)
Ni (0.500, 0.675, 0.513)
Ni (0.500, 0.325, 0.013)
Ni (0.000, 0.000, 0.000)
Ni (0.000, 0.000, 0.500)
Ni (0.500, 0.130, 0.750)
Ni (0.500, 0.870, 0.250)
Ni (0.500, 0.325, 0.487)
Co (0.000, 0.820, 0.750)
Co (0.000, 0.180, 0.250)
Tc (0.000, 0.467, 0.750)
Tc (0.000, 0.533, 0.250)